Entry 1:
DFT (PBE) results for a relaxed TaSn crystal.

Formation enthalpy at 0 K (meV per atom): 485

Structure (CIF):
```
data_TaSn
_chemical_formula_sum 'Ta16 Sn16'
_cell_length_a 7.7687
_cell_length_b 8.3738
_cell_length_c 10.7675
_cell_angle_alpha 90.00
_cell_angle_beta 90.00
_cell_angle_gamma 90.00
_symmetry_space_group_name_H-M 'F d d d'
_symmetry_Int_Tables_number 70
loop_
_symmetry_equiv_pos_as_xyz
'x,y,z'
'-x,-y,-z'
'-x+1/4,-y+1/4,z'
'x+1/4,y+1/4,-z'
'x,-y+1/4,-z+1/4'
'-x,y+1/4,z+1/4'
'-x+1/4,y,-z+1/4'
'x+1/4,-y,z+1/4'
'x,y+1/2,z+1/2'
'-x,-y+1/2,-z+1/2'
'-x+1/4,-y+3/4,z+1/2'
'x+1/4,y+3/4,-z+1/2'
'x,-y+3/4,-z+3/4'
'-x,y+3/4,z+3/4'
'-x+1/4,y+1/2,-z+3/4'
'x+1/4,-y+1/2,z+3/4'
'x+1/2,y,z+1/2'
'-x+1/2,-y,-z+1/2'
'-x+3/4,-y+1/4,z+1/2'
'x+3/4,y+1/4,-z+1/2'
'x+1/2,-y+1/4,-z+3/4'
'-x+1/2,y+1/4,z+3/4'
'-x+3/4,y,-z+3/4'
'x+3/4,-y,z+3/4'
'x+1/2,y+1/2,z'
'-x+1/2,-y+1/2,-z'
'-x+3/4,-y+3/4,z'
'x+3/4,y+3/4,-z'
'x+1/2,-y+3/4,-z+1/4'
'-x+1/2,y+3/4,z+1/4'
'-x+3/4,y+1/2,-z+1/4'
'x+3/4,-y+1/2,z+1/4'
loop_
_atom_site_label
_atom_site_type_symbol
_atom_site_fract_x
_atom_site_fract_y
_atom_site_fract_z
_atom_site_occupancy
Ta1 Ta 0.0490 0.3750 0.3750 1
Sn1 Sn 0.1250 0.3153 0.6250 1
```

Entry 2:
DFT (PBE) results for a relaxed Ta3Sn crystal.

Formation enthalpy at 0 K (meV per atom): 11

Structure (CIF):
```
data_Ta3Sn
_chemical_formula_sum 'Ta3 Sn1'
_cell_length_a 4.4732
_cell_length_b 4.4732
_cell_length_c 3.7539
_cell_angle_alpha 90.00
_cell_angle_beta 90.00
_cell_angle_gamma 90.00
_symmetry_space_group_name_H-M 'P 4/m m m'
_symmetry_Int_Tables_number 123
_symmetry_space_group_name_Hall '-P 4 2'
loop_
_atom_site_label
_atom_site_type_symbol
_atom_site_fract_x
_atom_site_fract_y
_atom_site_fract_z
_atom_site_occupancy
Ta1 Ta 0.0000 0.0000 0.0000 1
Ta2 Ta 0.0000 0.5000 0.5000 1
Sn1 Sn 0.5000 0.5000 0.0000 1
```

Volume values, unit Å³ per cell, following the record order: 700; 75.